Density functional theory data (PBE) for crystalline TlSiHgSb2 at its relaxed geometry.

```
TlSiHgSb2
1.0
5.2577 0.0000 0.0000
0.0000 5.6733 0.0000
0.0000 0.0000 5.2577
Sb Tl Si Hg
2 1 1 1
direct
0.0000 0.0000 0.5000
0.5000 0.0000 0.0000
0.0000 0.5000 0.0000
0.0000 0.0000 0.0000
0.5000 0.5000 0.5000
```

Properties
- space-group type = P4/mmm (123)
- raw formation energy (meV per atom) = 446